[1]
Here is a relaxed KSn2I6 crystal from the Alexandria database. Energies are from PBE-GGA.

abc: 7.7861 7.9806 7.9806
angles: 120.00 90.00 90.00
Last column: nearest neighbours and their distance in Å.
Fractional coordinates of all 9 atoms:
Sn 0.5000 0.3333 0.6667  6 I 3.13
Sn 0.5000 0.6667 0.3333  6 I 3.13
I 0.2613 0.0000 0.6276  2 Sn 3.13
I 0.7387 0.0000 0.3724  2 Sn 3.13
I 0.2613 0.3724 0.3724  2 Sn 3.13
I 0.2613 0.6276 0.0000  2 Sn 3.13
I 0.7387 0.6276 0.6276  2 Sn 3.13
I 0.7387 0.3724 0.0000  2 Sn 3.13
K 0.0000 0.0000 0.0000  6 I 3.60

## Properties
Space group: P-31m, No. 162
ρ: 4.01 g/cm3
Volume: 47.718 Å³ per atom
Total moment: 0.0000 μB per atom
Energy above the most stable polymorph in this dataset: 0.009 eV per atom
E_form (uncorrected): -0.63 eV per atom


[2]
Here is a relaxed ZrCoSe2 crystal from the Alexandria database. Energies are from PBE-GGA.

abc: 5.2682 5.2682 4.4828
angles: 86.91 86.91 38.81
Last column: nearest neighbours and their distance in Å.
Fractional coordinates of all 4 atoms:
Co 0.7873 0.7873 0.6850  3 Se 2.29
Se 0.9773 0.9773 0.9522  1 Co 2.29
Se 0.2337 0.2337 0.3843  2 Co 2.29
Zr 0.5017 0.5017 0.4785  7 Se 2.72-2.96, 3 Co 2.87-3.04

## Properties
Space group: Cm, No. 8
ρ: 6.57 g/cm3
Volume: 19.463 Å³ per atom
Total moment: 0.0211 μB per atom
Energy above the most stable polymorph in this dataset: 0.145 eV per atom
E_form (uncorrected): -0.60 eV per atom


[3]
Here is a relaxed NaHgPbSe2 crystal from the Alexandria database. Energies are from PBE-GGA.

abc: 5.1639 6.8225 8.1586
angles: 90.18 90.00 90.00
Last column: nearest neighbours and their distance in Å.
Fractional coordinates of all 10 atoms:
Se 0.6388 0.6655 0.9989  1 Se 2.68, 1 Hg 2.95, 2 Na 2.98-2.99
Se 0.3612 0.3345 0.0011  1 Se 2.68, 1 Hg 2.95, 2 Na 2.98-2.99
Se 0.3612 0.6655 0.4989  1 Se 2.68, 1 Hg 2.95, 2 Na 2.98-2.99
Se 0.6388 0.3345 0.5011  1 Se 2.68, 1 Hg 2.95, 2 Na 2.98-2.99
Na 0.0030 0.5000 0.7500  4 Se 2.98-2.99
Na 0.9970 0.5000 0.2500  4 Se 2.98-2.99
Hg 0.0000 0.0000 0.5000  2 Se 2.95, 4 Pb 3.29
Hg 0.0000 0.0000 0.0000  2 Se 2.95, 4 Pb 3.29
Pb 0.4997 0.0000 0.7500  4 Se 3.14, 4 Hg 3.29
Pb 0.5003 0.0000 0.2500  4 Se 3.14, 4 Hg 3.29

## Properties
Space group: P2/c, No. 13
ρ: 6.80 g/cm3
Volume: 28.743 Å³ per atom
Total moment: 0.0000 μB per atom
E_form (uncorrected): -0.39 eV per atom


[4]
Here is a relaxed KCdPbAu crystal from the Alexandria database. Energies are from PBE-GGA.

abc: 4.9256 4.9256 6.7701
angles: 68.67 68.67 60.00
Last column: nearest neighbours and their distance in Å.
Fractional coordinates of all 4 atoms:
K 0.8131 0.8131 0.5607  4 Au 3.50-3.88, 4 Pb 3.71-3.75, 3 Cd 3.71
Au 0.6230 0.6230 0.1309  3 Cd 2.86, 3 Pb 3.04
Pb 0.0142 0.0142 0.9573  3 Au 3.04, 3 Cd 3.14
Cd 0.2755 0.2755 0.1735  3 Au 2.86, 3 Pb 3.14

## Properties
Energy of formation: -183 meV/atom
Space group: R3m, No. 160
ρ: 7.15 g/cm3
Volume: 32.273 Å³ per atom
Total moment: 0.0000 μB per atom
Energy above the most stable polymorph in this dataset: 0.000 eV per atom


[5]
Here is a relaxed Zr2Ir2Ru crystal from the Alexandria database. Energies are from PBE-GGA.

abc: 6.8984 6.8984 3.8157
angles: 90.00 90.00 90.00
Last column: nearest neighbours and their distance in Å.
Fractional coordinates of all 10 atoms:
Zr 0.8237 0.3237 0.5000  6 Ir 2.68-2.87
Zr 0.6763 0.8237 0.5000  6 Ir 2.68-2.87
Zr 0.1763 0.6763 0.5000  6 Ir 2.68-2.87
Zr 0.3237 0.1763 0.5000  6 Ir 2.68-2.87
Ru 0.0000 0.0000 0.0000  4 Ir 2.70
Ru 0.5000 0.5000 0.0000  4 Ir 2.70
Ir 0.8689 0.6311 0.0000  1 Ir 2.56, 2 Zr 2.68, 2 Ru 2.70
Ir 0.6311 0.1311 0.0000  1 Ir 2.56, 2 Zr 2.68, 2 Ru 2.70
Ir 0.3689 0.8689 0.0000  1 Ir 2.56, 2 Zr 2.68, 2 Ru 2.70
Ir 0.1311 0.3689 0.0000  1 Ir 2.56, 2 Zr 2.68, 2 Ru 2.70

## Properties
Energy of formation: -462 meV/atom
Space group: P4/mbm, No. 127
ρ: 12.22 g/cm3
Volume: 18.158 Å³ per atom
Total moment: 0.0000 μB per atom


[6]
Here is a relaxed Zn2Cd3Au2 crystal from the Alexandria database. Energies are from PBE-GGA.

abc: 2.9601 3.4191 14.2389
angles: 90.00 83.87 90.00
Last column: nearest neighbours and their distance in Å.
Fractional coordinates of all 7 atoms:
Cd 0.0000 0.0000 0.0000  4 Zn 2.78-2.79, 2 Cd 2.96
Cd 0.7048 0.0000 0.5911  4 Cd 2.96-2.98, 4 Au 2.97-2.98
Cd 0.2952 0.0000 0.4089  4 Cd 2.96-2.98, 4 Au 2.97-2.98
Zn 0.4171 0.0000 0.1666  4 Au 2.71, 2 Cd 2.78-2.79, 2 Zn 2.96
Zn 0.5829 0.0000 0.8334  4 Au 2.71, 2 Cd 2.78-2.79, 2 Zn 2.96
Au 0.8637 0.5000 0.2723  4 Zn 2.71, 2 Au 2.96, 4 Cd 2.97-2.98
Au 0.1363 0.5000 0.7277  4 Zn 2.71, 2 Au 2.96, 4 Cd 2.97-2.98

## Properties
Energy of formation: -76 meV/atom
Space group: P2/m, No. 10
ρ: 9.99 g/cm3
Volume: 20.470 Å³ per atom
Total moment: 0.0000 μB per atom


[7]
Here is a relaxed TlInMo crystal from the Alexandria database. Energies are from PBE-GGA.

abc: 3.1531 3.1531 7.4434
angles: 90.00 90.00 120.00
Last column: nearest neighbours and their distance in Å.
Fractional coordinates of all 3 atoms:
In 0.0000 0.0000 0.0236  3 Mo 2.91, 6 In 3.15
Tl 0.3333 0.6667 0.6486  3 Mo 3.00, 6 Tl 3.15, 3 In 3.33
Mo 0.6667 0.3333 0.3278  3 In 2.91, 3 Tl 3.00, 6 Mo 3.15

## Properties
Energy of formation: 610 meV/atom
Space group: P3m1, No. 156
ρ: 10.76 g/cm3
Volume: 21.362 Å³ per atom
Total moment: 0.0003 μB per atom
Energy above the most stable polymorph in this dataset: 0.000 eV per atom


[8]
Here is a relaxed YHg2F11 crystal from the Alexandria database. Energies are from PBE-GGA.

abc: 8.7223 8.5607 8.5607
angles: 73.38 59.37 59.37
Last column: nearest neighbours and their distance in Å.
Fractional coordinates of all 28 atoms:
F 0.8361 0.9461 0.7887  1 Hg 2.11, 1 Y 2.31
F 0.2403 0.5312 0.1876  1 Hg 2.12, 1 Y 2.28
F 0.0808 0.1542 0.8458  1 F 1.73
F 0.0000 0.0000 0.0000  2 F 1.73
F 0.9592 0.8124 0.4688  1 Hg 2.12, 1 Y 2.28
F 0.7597 0.4688 0.8124  1 Hg 2.12, 1 Y 2.28
F 0.4291 0.7887 0.9461  1 Hg 2.11, 1 Y 2.31
F 0.6639 0.7113 0.5539  1 Hg 2.11, 1 Y 2.31
F 0.0408 0.1876 0.5312  1 Hg 2.12, 1 Y 2.28
F 0.5808 0.3458 0.6542  1 F 1.73
F 0.3361 0.2887 0.4461  1 Hg 2.11, 1 Y 2.31
F 0.4192 0.6542 0.3458  1 F 1.73
F 0.9192 0.8458 0.1542  1 F 1.73
F 0.2597 0.3124 0.9688  1 Hg 2.12, 1 Y 2.28
F 0.5709 0.2113 0.0539  1 Hg 2.11, 1 Y 2.31
F 0.0709 0.5539 0.7113  1 Hg 2.11, 1 Y 2.31
F 0.5408 0.0312 0.6876  1 Hg 2.12, 1 Y 2.28
F 0.7403 0.6876 0.0312  1 Hg 2.12, 1 Y 2.28
F 0.4592 0.9688 0.3124  1 Hg 2.12, 1 Y 2.28
F 0.9291 0.4461 0.2887  1 Hg 2.11, 1 Y 2.31
F 0.5000 0.5000 0.5000  2 F 1.73
F 0.1639 0.0539 0.2113  1 Hg 2.11, 1 Y 2.31
Y 0.2500 0.2500 0.2500  8 F 2.28-2.31
Y 0.7500 0.7500 0.7500  8 F 2.28-2.31
Hg 0.8000 0.2088 0.7912  4 F 2.11-2.12
Hg 0.7000 0.7088 0.2912  4 F 2.11-2.12
Hg 0.2000 0.7912 0.2088  4 F 2.11-2.12
Hg 0.3000 0.2912 0.7088  4 F 2.11-2.12

## Properties
Space group: Ibam, No. 72
ρ: 4.91 g/cm3
Volume: 16.893 Å³ per atom
Total moment: 0.1445 μB per atom
E_form (uncorrected): -1.73 eV per atom